TiBe17Os | PBE-GGA | optimized geometry

Cell: 5.4903 5.4903 5.4903 Å, 82.97 82.97 82.97°
Last column: nearest neighbours and their distance in Å.
Fractional positions:
Ti 0.0000 0.0000 0.0000  19 Be 2.57-2.78
Be 0.0368 0.3446 0.6387  8 Be 2.09-2.24
Be 0.0368 0.6387 0.3446  8 Be 2.09-2.24
Be 0.1923 0.6874 0.6874  9 Be 2.09-2.24
Be 0.2426 0.2426 0.2426  7 Be 2.12-2.35
Be 0.3341 0.3341 0.8465  10 Be 2.09-2.25
Be 0.3341 0.8465 0.3341  10 Be 2.09-2.25
Be 0.3446 0.0368 0.6387  8 Be 2.09-2.24
Be 0.3446 0.6387 0.0368  8 Be 2.09-2.24
Be 0.4426 0.4426 0.4426  7 Be 2.12-2.25
Be 0.5088 0.9881 0.9881  8 Be 2.09-2.22
Be 0.6387 0.0368 0.3446  8 Be 2.09-2.24
Be 0.6387 0.3446 0.0368  8 Be 2.09-2.24
Be 0.6874 0.1923 0.6874  9 Be 2.09-2.24
Be 0.6874 0.6874 0.1923  9 Be 2.09-2.24
Be 0.8465 0.3341 0.3341  10 Be 2.09-2.25
Be 0.9881 0.5088 0.9881  8 Be 2.09-2.22
Be 0.9881 0.9881 0.5088  8 Be 2.09-2.22
Os 0.6753 0.6753 0.6753  13 Be 2.47-2.64

Summary:
ΔH_f (0 K): -171 meV per atom
total energy: -4.51 eV/atom